[1]
Entry from Alexandria: an optimized crystal structure of CaAsH2Rh2 (PBE).

Results
Raw total energy: -5.114 eV per atom

Structure (CIF):
```
data_CaAsH2Rh2
_chemical_formula_sum 'Ca2 As2 H4 Rh4'
_cell_length_a 5.2099
_cell_length_b 5.5817
_cell_length_c 6.4874
_cell_angle_alpha 90.00
_cell_angle_beta 98.38
_cell_angle_gamma 90.00
_space_group_name_H-M_alt 'P 1'
_space_group_IT_number 1
_space_group_name_Hall 'P 1'
loop_
_atom_site_label
_atom_site_type_symbol
_atom_site_fract_x
_atom_site_fract_y
_atom_site_fract_z
Ca1 Ca 0.2177 0.2500 0.3415
Ca2 Ca 0.7823 0.7500 0.6585
As1 As 0.2890 0.7500 0.0990
As2 As 0.7110 0.2500 0.9010
H1 H 0.1516 0.2500 0.6871
H2 H 0.2649 0.7500 0.6322
H3 H 0.7351 0.2500 0.3678
H4 H 0.8484 0.7500 0.3129
Rh1 Rh 0.3278 0.0022 0.8009
Rh2 Rh 0.3278 0.4978 0.8009
Rh3 Rh 0.6722 0.5022 0.1991
Rh4 Rh 0.6722 0.9978 0.1991
```

=====

[2]
Entry from Alexandria: an optimized crystal structure of CaAsHRh2 (PBE).

Results
Raw total energy: -5.593 eV per atom

Structure (CIF):
```
data_CaAsHRh2
_chemical_formula_sum 'Ca2 As2 H2 Rh4'
_cell_length_a 5.7731
_cell_length_b 5.7731
_cell_length_c 7.2828
_cell_angle_alpha 90.00
_cell_angle_beta 90.00
_cell_angle_gamma 141.51
_space_group_name_H-M_alt 'P 1'
_space_group_IT_number 1
_space_group_name_Hall 'P 1'
loop_
_atom_site_label
_atom_site_type_symbol
_atom_site_fract_x
_atom_site_fract_y
_atom_site_fract_z
Ca1 Ca 0.0462 0.9538 0.7500
Ca2 Ca 0.9538 0.0462 0.2500
As1 As 0.2283 0.7717 0.2500
As2 As 0.7717 0.2283 0.7500
H1 H 0.5000 0.5000 0.0000
H2 H 0.5000 0.5000 0.5000
Rh1 Rh 0.3414 0.6586 0.5522
Rh2 Rh 0.3414 0.6586 0.9478
Rh3 Rh 0.6586 0.3414 0.0522
Rh4 Rh 0.6586 0.3414 0.4478
```

=====

[3]
Entry from Alexandria: an optimized crystal structure of CaAsHRh (PBE).

Results
Raw total energy: -5.107 eV per atom

Structure (CIF):
```
data_CaAsHRh
_chemical_formula_sum 'Ca2 As2 H2 Rh2'
_cell_length_a 4.0490
_cell_length_b 4.0490
_cell_length_c 7.7364
_cell_angle_alpha 90.00
_cell_angle_beta 90.00
_cell_angle_gamma 90.00
_space_group_name_H-M_alt 'P 1'
_space_group_IT_number 1
_space_group_name_Hall 'P 1'
loop_
_atom_site_label
_atom_site_type_symbol
_atom_site_fract_x
_atom_site_fract_y
_atom_site_fract_z
Ca1 Ca 0.2500 0.2500 0.1453
Ca2 Ca 0.7500 0.7500 0.8547
As1 As 0.2500 0.2500 0.6844
As2 As 0.7500 0.7500 0.3156
H1 H 0.2500 0.7500 0.0000
H2 H 0.7500 0.2500 0.0000
Rh1 Rh 0.2500 0.7500 0.5000
Rh2 Rh 0.7500 0.2500 0.5000
```

=====

[4]
Entry from Alexandria: an optimized crystal structure of Ca4SbAsH (PBE).

Results
Raw total energy: -3.775 eV per atom

Structure (CIF):
```
data_Ca4SbAsH
_chemical_formula_sum 'Ca8 Sb2 As2 H2'
_cell_length_a 4.5994
_cell_length_b 4.5994
_cell_length_c 16.4522
_cell_angle_alpha 90.00
_cell_angle_beta 90.00
_cell_angle_gamma 90.00
_space_group_name_H-M_alt 'P 1'
_space_group_IT_number 1
_space_group_name_Hall 'P 1'
loop_
_atom_site_label
_atom_site_type_symbol
_atom_site_fract_x
_atom_site_fract_y
_atom_site_fract_z
Ca1 Ca 0.0000 0.0000 0.0000
Ca2 Ca 0.0000 0.0000 0.3591
Ca3 Ca 0.0000 0.5000 0.1692
Ca4 Ca 0.0000 0.5000 0.6692
Ca5 Ca 0.5000 0.0000 0.1692
Ca6 Ca 0.5000 0.0000 0.6692
Ca7 Ca 0.5000 0.5000 0.5000
Ca8 Ca 0.5000 0.5000 0.8591
Sb1 Sb 0.0000 0.0000 0.8095
Sb2 Sb 0.5000 0.5000 0.3095
As1 As 0.0000 0.0000 0.5430
As2 As 0.5000 0.5000 0.0430
H1 H 0.0000 0.0000 0.1455
H2 H 0.5000 0.5000 0.6455
```

=====

[5]
Entry from Alexandria: an optimized crystal structure of CaScAsH (PBE).

Results
Raw total energy: -4.939 eV per atom

Structure (CIF):
```
data_CaScAsH
_chemical_formula_sum 'Ca2 Sc2 As2 H2'
_cell_length_a 4.2919
_cell_length_b 4.2919
_cell_length_c 8.3286
_cell_angle_alpha 90.00
_cell_angle_beta 90.00
_cell_angle_gamma 90.00
_space_group_name_H-M_alt 'P 1'
_space_group_IT_number 1
_space_group_name_Hall 'P 1'
loop_
_atom_site_label
_atom_site_type_symbol
_atom_site_fract_x
_atom_site_fract_y
_atom_site_fract_z
Ca1 Ca 0.2500 0.2500 0.1243
Ca2 Ca 0.7500 0.7500 0.8757
Sc1 Sc 0.2500 0.7500 0.5000
Sc2 Sc 0.7500 0.2500 0.5000
As1 As 0.2500 0.2500 0.6993
As2 As 0.7500 0.7500 0.3007
H1 H 0.2500 0.7500 0.0000
H2 H 0.7500 0.2500 0.0000
```

=====

[6]
Entry from Alexandria: an optimized crystal structure of CaAsHSe2 (PBE).

Results
Distance to the lowest polymorph of the same formula: 5.23 eV per formula unit

Structure (CIF):
```
data_CaAsHSe2
_chemical_formula_sum 'Ca1 As1 H1 Se2'
_cell_length_a 5.5187
_cell_length_b 5.5187
_cell_length_c 5.6856
_cell_angle_alpha 90.00
_cell_angle_beta 90.00
_cell_angle_gamma 90.00
_space_group_name_H-M_alt 'P 1'
_space_group_IT_number 1
_space_group_name_Hall 'P 1'
loop_
_atom_site_label
_atom_site_type_symbol
_atom_site_fract_x
_atom_site_fract_y
_atom_site_fract_z
Ca1 Ca 0.0000 0.0000 0.0000
As1 As 0.0000 0.0000 0.5000
H1 H 0.5000 0.5000 0.5000
Se1 Se 0.0000 0.5000 0.0000
Se2 Se 0.5000 0.0000 0.0000
```

=====

In the order shown, the computed density of states at the Fermi level values come out to 0.14 0.55 0.38 0.39 0.48 1.11 states/eV per atom.
In the order shown, the computed calculated density values come out to 5744 7074 5732 3416 3484 2627 kg/m3.